A relaxed GaFeF2 crystal. Source: Alexandria via LeMat-Bulk, functional GGA+U.

Computed properties:
**ΔE to the lowest computed polymorph**: 0 meV per atom
**Space group**: R-3m, No. 166
**Electronic total energy**: -54.03 eV per cell

Cell lengths 3.106, 3.106, 22.531 Å; angles 90.00, 90.00, 120.00 degrees
Sites, in units of the cell vectors:
1 Ga 0.000 0.000 0.000
2 Ga 0.333 0.667 0.667
3 Ga 0.667 0.333 0.333
4 Fe 0.000 0.000 0.500
5 Fe 0.333 0.667 0.167
6 Fe 0.667 0.333 0.833
7 F 0.000 0.000 0.115
8 F 0.000 0.000 0.885
9 F 0.333 0.667 0.552
10 F 0.333 0.667 0.782
11 F 0.667 0.333 0.218
12 F 0.667 0.333 0.448